Entry 1:
Below is a geometry-optimized KZn2Ag9 structure, with properties calculated at the GGA-PBE level.

* total magnetic moment: 0.0 μB per cell
* energy of formation: 0.0071 eV/atom
* total DFT energy (no corrections): -2.4351 eV/atom
* excess energy over the best structure of this formula in the dataset: 0 meV per atom

```
KZn2Ag9
1.0
-5.699 5.699 3.661
5.699 -5.699 3.661
5.699 5.699 -3.661
K Zn Ag
2 4 18
direct
0.375 0.625 0.750
0.625 0.375 0.250
0.000 0.000 0.000
0.000 0.000 0.500
0.000 0.500 0.000
0.500 0.000 0.500
0.125 0.875 0.250
0.141 0.565 0.332
0.141 0.809 0.576
0.191 0.267 0.332
0.191 0.859 0.924
0.267 0.191 0.832
0.267 0.435 0.076
0.435 0.267 0.576
0.435 0.859 0.168
0.565 0.141 0.832
0.565 0.733 0.424
0.733 0.565 0.924
0.733 0.809 0.168
0.809 0.141 0.076
0.809 0.733 0.668
0.859 0.191 0.424
0.859 0.435 0.668
0.875 0.125 0.750
```

---

Entry 2:
Below is a geometry-optimized La3TaB structure, with properties calculated at the GGA-PBE level.

* total magnetic moment: 0.0 μB per cell
* energy of formation: 0.6914 eV/atom
* total DFT energy (no corrections): -5.9711 eV/atom
* excess energy over the best structure of this formula in the dataset: 0 meV per atom

```
La3TaB
1.0
5.226 0.000 0.000
0.000 5.226 0.000
0.000 0.000 5.226
La Ta B
3 1 1
direct
0.000 0.000 0.500
0.000 0.500 0.000
0.500 0.000 0.000
0.500 0.500 0.500
0.000 0.000 0.000
```

---

Entry 3:
Below is a geometry-optimized LiTmZn2Ga4 structure, with properties calculated at the GGA-PBE level.

* total magnetic moment: 0.0 μB per cell
* energy of formation: -0.2397 eV/atom
* total DFT energy (no corrections): -2.8697 eV/atom

```
LiTmZn2Ga4
1.0
2.209 1.276 8.336
-2.209 1.276 8.336
0.000 -2.551 8.336
Li Tm Zn Ga
1 1 2 4
direct
0.000 0.000 0.000
0.500 0.500 0.500
0.253 0.253 0.253
0.747 0.747 0.747
0.108 0.108 0.108
0.371 0.371 0.371
0.629 0.629 0.629
0.892 0.892 0.892
```

---

Entry 4:
Below is a geometry-optimized SnTeIr structure, with properties calculated at the GGA-PBE level.

* total magnetic moment: 0.0 μB per cell
* raw formation energy: 0.00 eV/atom
* total DFT energy (no corrections): -5.3320 eV/atom

```
SnTeIr
1.0
6.356 -1.536 0.000
6.356 1.536 0.000
-1.084 0.000 3.577
Sn Te Ir
1 1 1
direct
0.000 0.000 0.000
0.768 0.768 0.265
0.613 0.613 0.611
```